VASP calculation (PBE+U) on an optimized crystal structure of PuV2O8F.

Results
The total energy comes out at -0.282 Ha/atom. As for the mass density: 4.84 g/cm³. For the volume, the calculation gives 337.86 Å³/cell. The density of states at the Fermi level is 0.603 states/eV per atom.

abc: 10.780 6.680 4.693
angles: 90.00 91.43 90.00
Space group C2/m (No. 12)
Symmetry-distinct sites (fractional):
Pu 0.000 0.000 0.000 [2 per cell]
V 0.162 0.500 0.727 [4 per cell]
O 0.083 0.284 0.820 [8 per cell]
O 0.170 0.000 0.132 [4 per cell]
O 0.174 0.500 0.379 [4 per cell]
F 0.000 0.000 0.500 [2 per cell]